Below is a relaxed Tb4Sm2Y3 crystal, with properties calculated at the GGA-PBE level.

Computed properties:
symmetry = C2/c, No. 15
energy relative to the elements = 92 meV/atom

a = 10.0183 Å, b = 10.0183 Å, c = 6.1718 Å
α = 94.85°, β = 94.85°, γ = 71.20°
Atoms (fractional coordinates):
Tb 0.0939 0.8124 0.9850
Tb 0.1455 0.4253 0.1517
Tb 0.1876 0.9061 0.5150
Tb 0.4253 0.1455 0.6517
Tb 0.5747 0.8545 0.3483
Tb 0.8124 0.0939 0.4850
Tb 0.8545 0.5747 0.8483
Tb 0.9061 0.1876 0.0150
Sm 0.2363 0.5221 0.6801
Sm 0.4779 0.7637 0.8199
Sm 0.5221 0.2363 0.1801
Sm 0.7637 0.4779 0.3199
Y 0.0672 0.2644 0.5882
Y 0.2644 0.0672 0.0882
Y 0.4013 0.5987 0.2500
Y 0.5987 0.4013 0.7500
Y 0.7356 0.9328 0.9118
Y 0.9328 0.7356 0.4118

---

Below is a relaxed Mn2TcRu crystal, with properties calculated at the GGA-PBE level.

Computed properties:
symmetry = P4/mmm, No. 123
energy relative to the elements = 51 meV/atom

a = 4.2342 Å, b = 4.2342 Å, c = 3.0034 Å
α = 90.00°, β = 90.00°, γ = 90.00°
Atoms (fractional coordinates):
Mn 0.0000 0.5000 0.0000
Mn 0.5000 0.0000 0.0000
Tc 0.0000 0.0000 0.5000
Ru 0.5000 0.5000 0.5000

---

Below is a relaxed CeInSn2Cl8 crystal, with properties calculated at the GGA-PBE level.

Computed properties:
symmetry = P-1, No. 2
E_form (uncorrected) = -131.5 kJ per mole of atoms

a = 6.5459 Å, b = 6.9105 Å, c = 9.1235 Å
α = 87.05°, β = 87.65°, γ = 88.65°
Atoms (fractional coordinates):
Ce 0.0000 0.0000 0.0000
In 0.0000 0.0000 0.5000
Sn 0.4976 0.4912 0.7454
Sn 0.5024 0.5088 0.2546
Cl 0.2150 0.8161 0.7785
Cl 0.2484 0.8529 0.2203
Cl 0.2570 0.3208 0.9651
Cl 0.2846 0.3537 0.5461
Cl 0.7154 0.6463 0.4539
Cl 0.7430 0.6792 0.0349
Cl 0.7516 0.1471 0.7797
Cl 0.7850 0.1839 0.2215

---

Below is a relaxed DyHfSc2Sb4 crystal, with properties calculated at the GGA-PBE level.

Computed properties:
symmetry = P2/m, No. 10
E_form (uncorrected) = -81.8 kJ per mole of atoms

a = 7.2540 Å, b = 4.2009 Å, c = 7.2793 Å
α = 90.00°, β = 109.34°, γ = 90.00°
Atoms (fractional coordinates):
Dy 0.0000 0.0000 0.0000
Hf 0.0000 0.5000 0.5000
Sc 0.5000 0.0000 0.5000
Sc 0.5000 0.5000 0.0000
Sb 0.2528 0.0000 0.7425
Sb 0.2590 0.5000 0.2615
Sb 0.7410 0.5000 0.7385
Sb 0.7472 0.0000 0.2575

---

Below is a relaxed KErS2 crystal, with properties calculated at the GGA-PBE level.

Computed properties:
symmetry = R3m, No. 160
E_form (uncorrected) = -180.0 kJ per mole of atoms

a = 7.8437 Å, b = 7.8437 Å, c = 7.8437 Å
α = 29.52°, β = 29.52°, γ = 29.52°
Atoms (fractional coordinates):
K 0.0000 0.0000 0.0000
Er 0.1694 0.1694 0.1694
S 0.5689 0.5689 0.5689
S 0.7698 0.7698 0.7698

---

Below is a relaxed LiCeHg crystal, with properties calculated at the GGA-PBE level.

Computed properties:
energy relative to the lowest polymorph listed for this composition = 0.0000 eV per atom
symmetry = P-6m2, No. 187
energy relative to the elements = -218 meV/atom

a = 4.9742 Å, b = 4.9742 Å, c = 3.2847 Å
α = 90.00°, β = 90.00°, γ = 120.00°
Atoms (fractional coordinates):
Li 0.0000 0.0000 0.0000
Ce 0.3333 0.6667 0.5000
Hg 0.6667 0.3333 0.0000

---

Below is a relaxed BeTl2CrRe crystal, with properties calculated at the GGA-PBE level.

Computed properties:
symmetry = P4/mmm, No. 123
energy relative to the elements = 1714 meV/atom

a = 5.2436 Å, b = 5.2436 Å, c = 4.2830 Å
α = 90.00°, β = 90.00°, γ = 90.00°
Atoms (fractional coordinates):
Be 0.0000 0.0000 0.0000
Tl 0.0000 0.5000 0.5000
Tl 0.5000 0.0000 0.5000
Cr 0.5000 0.5000 0.0000
Re 0.0000 0.0000 0.5000

---

Below is a relaxed Ba2MgSnHg6 crystal, with properties calculated at the GGA-PBE level.

Computed properties:
symmetry = P-1, No. 2
energy relative to the elements = -319 meV/atom

a = 6.0138 Å, b = 7.5588 Å, c = 7.7702 Å
α = 83.40°, β = 71.47°, γ = 68.39°
Atoms (fractional coordinates):
Ba 0.0142 0.2523 0.2107
Ba 0.9858 0.7477 0.7893
Mg 0.5000 0.0000 0.5000
Sn 0.5000 0.5000 0.0000
Hg 0.0012 0.2258 0.7207
Hg 0.3658 0.4079 0.4174
Hg 0.4940 0.1852 0.7988
Hg 0.5060 0.8148 0.2012
Hg 0.6342 0.5921 0.5826
Hg 0.9988 0.7742 0.2793

---

For the records above, the corresponding electronic total energy values read -5.17 -9.44 -3.98 -6.31 -5.34 -2.93 -4.39 -1.44 eV/atom.